[1]
This record from Alexandria via LeMat-Bulk describes Tb2Nd13 after structural relaxation. The functional is PBE.

Summary:
The energy above the most stable polymorph in this dataset is 8.3 kJ per mole of atoms. As for the total moment: 0.0000 μB per atom. For the calculated total energy, the calculation gives -4.609 eV/atom. Its calculated formation energy is 141 meV per atom. The space group is R-3m.

Cell lengths 7.2297, 7.2297, 12.5416 Å; angles 73.25, 73.25, 60.00 degrees
Element x y z (fractional)
Nd (0.5000, 0.5000, 0.5000)
Nd (0.0463, 0.0463, 0.3649)
Nd (0.2928, 0.7891, 0.1290)
Nd (0.9537, 0.9537, 0.6351)
Nd (0.7072, 0.2109, 0.8710)
Nd (0.5424, 0.0463, 0.3649)
Nd (0.7891, 0.2928, 0.1290)
Nd (0.9537, 0.4576, 0.6351)
Nd (0.2109, 0.7072, 0.8710)
Nd (0.7891, 0.7891, 0.1290)
Nd (0.2109, 0.2109, 0.8710)
Nd (0.0463, 0.5424, 0.3649)
Nd (0.4576, 0.9537, 0.6351)
Tb (0.2939, 0.2939, 0.1183)
Tb (0.7061, 0.7061, 0.8817)

---

[2]
This record from Alexandria via LeMat-Bulk describes Tb3Nd after structural relaxation. The functional is PBE.

Summary:
The energy above the most stable polymorph in this dataset is 0.6 kJ per mole of atoms. As for the total moment: 0.0001 μB per atom. For the calculated total energy, the calculation gives -4.643 eV/atom. Its calculated formation energy is 22 meV per atom. The space group is Imm2.

Cell lengths 3.6534, 6.2980, 6.8134 Å; angles 117.53, 105.55, 90.00 degrees
Element x y z (fractional)
Tb (0.7516, 0.0848, 0.5032)
Tb (0.2484, 0.5816, 0.4968)
Tb (0.5000, 0.5014, 0.0000)
Nd (0.0000, 0.9989, 0.0000)

---

[3]
This record from Alexandria via LeMat-Bulk describes Tb2Nd13 after structural relaxation. The functional is PBE.

Summary:
The energy above the most stable polymorph in this dataset is 0.0 kJ per mole of atoms. As for the total moment: 0.0000 μB per atom. For the calculated total energy, the calculation gives -4.695 eV/atom. Its calculated formation energy is 55 meV per atom. The space group is P-1.

Cell lengths 6.8020, 9.1811, 9.1838 Å; angles 113.50, 82.39, 97.68 degrees
Element x y z (fractional)
Nd (0.8983, 0.4352, 0.2341)
Nd (0.3973, 0.6021, 0.4045)
Nd (0.7015, 0.6291, 0.0279)
Nd (0.6027, 0.3979, 0.5955)
Nd (0.8050, 0.1953, 0.7933)
Nd (0.0000, 0.0000, 0.0000)
Nd (0.2985, 0.3709, 0.9721)
Nd (0.5013, 0.1683, 0.1655)
Nd (0.1950, 0.8047, 0.2067)
Nd (0.1017, 0.5648, 0.7659)
Nd (0.3040, 0.0375, 0.6375)
Nd (0.6960, 0.9625, 0.3625)
Nd (0.4987, 0.8317, 0.8345)
Tb (0.9012, 0.7680, 0.5691)
Tb (0.0988, 0.2320, 0.4309)

---

[4]
This record from Alexandria via LeMat-Bulk describes Tb8Nd3 after structural relaxation. The functional is PBE.

Summary:
The energy above the most stable polymorph in this dataset is 0.0 kJ per mole of atoms. As for the total moment: 0.0000 μB per atom. For the calculated total energy, the calculation gives -4.654 eV/atom. Its calculated formation energy is 14 meV per atom. The space group is R-3m.

Cell lengths 3.5949, 3.5949, 32.2361 Å; angles 86.80, 86.80, 60.00 degrees
Element x y z (fractional)
Tb (0.3639, 0.3639, 0.9082)
Tb (0.9081, 0.9081, 0.2758)
Tb (0.5449, 0.5449, 0.3654)
Tb (0.0919, 0.0919, 0.7242)
Tb (0.8184, 0.8184, 0.5449)
Tb (0.1816, 0.1816, 0.4551)
Tb (0.6361, 0.6361, 0.0918)
Tb (0.4551, 0.4551, 0.6346)
Nd (0.7279, 0.7279, 0.8163)
Nd (0.2721, 0.2721, 0.1837)
Nd (0.0000, 0.0000, 0.0000)

---

[5]
This record from Alexandria via LeMat-Bulk describes Tb5Nd6 after structural relaxation. The functional is PBE.

Summary:
As for the total moment: 0.0000 μB per atom. For the calculated total energy, the calculation gives -4.583 eV/atom. Its calculated formation energy is 122 meV per atom. The space group is C2/m.

Cell lengths 10.3618, 8.5068, 6.1404 Å; angles 73.39, 62.01, 52.48 degrees
Element x y z (fractional)
Nd (0.6780, 0.2751, 0.1012)
Nd (0.0469, 0.2751, 0.8988)
Nd (0.9531, 0.7249, 0.1012)
Nd (0.1818, 0.0000, 0.4216)
Nd (0.3220, 0.7249, 0.8988)
Nd (0.8182, 0.0000, 0.5784)
Tb (0.6308, 0.7384, 0.0000)
Tb (0.2339, 0.5322, 0.5000)
Tb (0.3692, 0.2616, 0.0000)
Tb (0.7661, 0.4678, 0.5000)
Tb (0.5000, 0.0000, 0.5000)

---

[6]
This record from Alexandria via LeMat-Bulk describes Tb3Nd13 after structural relaxation. The functional is PBE.

Summary:
The energy above the most stable polymorph in this dataset is 0.0 kJ per mole of atoms. As for the total moment: 0.0000 μB per atom. For the calculated total energy, the calculation gives -4.729 eV/atom. Its calculated formation energy is 13 meV per atom. The space group is Amm2.

Cell lengths 7.3167, 7.3167, 10.3459 Å; angles 90.00, 90.00, 90.02 degrees
Element x y z (fractional)
Tb (0.7516, 0.2484, 0.0000)
Tb (0.9990, 0.0010, 0.7513)
Tb (0.9990, 0.0010, 0.2487)
Nd (0.2484, 0.7516, 0.0000)
Nd (0.9992, 0.4993, 0.2488)
Nd (0.5007, 0.0008, 0.2488)
Nd (0.5009, 0.4991, 0.2493)
Nd (0.7515, 0.7516, 0.0000)
Nd (0.7517, 0.7515, 0.5000)
Nd (0.7519, 0.2481, 0.5000)
Nd (0.2484, 0.2485, 0.0000)
Nd (0.5009, 0.4991, 0.7507)
Nd (0.5007, 0.0008, 0.7512)
Nd (0.2482, 0.7518, 0.5000)
Nd (0.9992, 0.4993, 0.7512)
Nd (0.2485, 0.2483, 0.5000)

---

[7]
This record from Alexandria via LeMat-Bulk describes TbNd2 after structural relaxation. The functional is PBE.

Summary:
The energy above the most stable polymorph in this dataset is 10.8 kJ per mole of atoms. As for the total moment: 0.0000 μB per atom. For the calculated total energy, the calculation gives -4.591 eV/atom. Its calculated formation energy is 131 meV per atom. The space group is I4_1/amd.

Cell lengths 3.5304, 3.5304, 16.9347 Å; angles 95.98, 95.98, 90.00 degrees
Element x y z (fractional)
Tb (0.0000, 0.0000, 0.0000)
Tb (0.2500, 0.7500, 0.5000)
Nd (0.8280, 0.3280, 0.6560)
Nd (0.4220, 0.4220, 0.8440)
Nd (0.6720, 0.1720, 0.3440)
Nd (0.5780, 0.5780, 0.1560)

---

[8]
This record from Alexandria via LeMat-Bulk describes Tb4Nd5 after structural relaxation. The functional is PBE.

Summary:
As for the total moment: 0.0000 μB per atom. For the calculated total energy, the calculation gives -4.692 eV/atom. Its calculated formation energy is 15 meV per atom. The space group is C2/m.

Cell lengths 5.1213, 8.1167, 8.1167 Å; angles 84.24, 71.56, 71.56 degrees
Element x y z (fractional)
Tb (0.3333, 0.6667, 0.6667)
Tb (0.6667, 0.3333, 0.3333)
Tb (0.3333, 0.0000, 0.3334)
Tb (0.6667, 0.6666, 0.0000)
Nd (0.3316, 0.3352, 0.0019)
Nd (0.6684, 0.9981, 0.6648)
Nd (0.0000, 0.9983, 0.0017)
Nd (0.0000, 0.3350, 0.6650)
Nd (0.0000, 0.6667, 0.3333)

---

[9]
This record from Alexandria via LeMat-Bulk describes Tb3Nd after structural relaxation. The functional is PBE.

Summary:
The energy above the most stable polymorph in this dataset is 0.0 kJ per mole of atoms. As for the total moment: 0.0000 μB per atom. For the calculated total energy, the calculation gives -4.649 eV/atom. Its calculated formation energy is 15 meV per atom. The space group is I4/mmm.

Cell lengths 6.2207, 6.2207, 6.2207 Å; angles 131.83, 131.83, 70.49 degrees
Element x y z (fractional)
Nd (0.0000, 0.0000, 0.0000)
Tb (0.7500, 0.2500, 0.5000)
Tb (0.5000, 0.5000, 0.0000)
Tb (0.2500, 0.7500, 0.5000)

---

[10]
This record from Alexandria via LeMat-Bulk describes Tb3Nd5 after structural relaxation. The functional is PBE.

Summary:
As for the total moment: 0.0000 μB per atom. For the calculated total energy, the calculation gives -4.699 eV/atom. Its calculated formation energy is 17 meV per atom. The space group is Pmmm.

Cell lengths 5.1255, 5.1489, 10.2923 Å; angles 90.00, 90.00, 90.00 degrees
Element x y z (fractional)
Nd (0.0000, 0.5000, 0.2520)
Nd (0.0000, 0.0000, 0.0000)
Nd (0.0000, 0.0000, 0.5000)
Nd (0.0000, 0.5000, 0.7480)
Nd (0.5000, 0.5000, 0.0000)
Tb (0.5000, 0.0000, 0.7482)
Tb (0.5000, 0.0000, 0.2518)
Tb (0.5000, 0.5000, 0.5000)

---

Q: Which of these has the lowest calculated total energy?
A: Tb3Nd13

---

Q: Which formula does entry 3 have?
A: Tb2Nd13